1.
VASP calculation (PBE) on MnNi3Rh after structural relaxation.

Volume (Å³ per cell): 71.3
Formation enthalpy at 0 K (eV per atom): 1.1666
Uncorrected energy (eV per atom): -5.606

The structure in POSCAR format:
```
MnNi3Rh
1.0
4.147 0.000 0.000
0.000 4.147 0.000
0.000 0.000 4.147
Rh Ni Mn
1 3 1
Direct
0.500 0.500 0.500
0.500 0.000 0.000
0.000 0.500 0.000
0.000 0.000 0.500
0.000 0.000 0.000
```

---

2.
VASP calculation (PBE) on Mn2Ni3Rh3 after structural relaxation.

Volume (Å³ per cell): 101.2
Formation enthalpy at 0 K (eV per atom): -0.0936
Uncorrected energy (eV per atom): -7.311

The structure in POSCAR format:
```
Mn2Ni3Rh3
1.0
-3.497 1.159 0.671
-1.075 -1.313 -3.335
-1.538 -6.383 3.008
Ni Rh Mn
3 3 2
Direct
0.500 0.000 0.000
0.500 0.500 0.245
0.500 0.500 0.755
0.000 0.500 0.000
0.500 0.000 0.500
0.000 0.500 0.500
0.000 0.000 0.246
0.000 0.000 0.754
```

---

3.
VASP calculation (PBE) on MnNi2Rh after structural relaxation.

Volume (Å³ per cell): 47.4
Formation enthalpy at 0 K (eV per atom): 0.2345
Uncorrected energy (eV per atom): -6.786

The structure in POSCAR format:
```
MnNi2Rh
1.0
0.000 2.871 2.871
2.871 0.000 2.871
2.871 2.871 0.000
Ni Rh Mn
2 1 1
Direct
0.250 0.250 0.250
0.750 0.750 0.750
0.500 0.500 0.500
0.000 0.000 0.000
```

---

Question: Look up the formation enthalpy at 0 K of the third one.
Answer: 0.2345 eV per atom

---

Question: The lowest formation enthalpy at 0 K belongs to which entry?
Answer: Mn2Ni3Rh3